First-principles (PBE) data for a geometry-optimized FeSeBr2 structure, as listed in Alexandria.

Lattice parameters (Å, degrees): 3.2875 6.4270 11.3990 90.00 90.00 90.00
Closest atoms and distances in Å follow each position.
Space group Cmmm (No. 65)
Asymmetric unit:
Fe 0.0000 0.0000 0.0000 x2  4 Br 2.46
Se 0.0000 0.0000 0.5000 x2  6 Se 3.29-3.61
Br 0.0000 0.5000 0.1602 x4  2 Fe 2.46

Summary:
Raw formation energy: 0.272 eV per atom
Energy: -0.26102 Ry/atom
Calculated volume: 240.8 Å³/cell
Energy relative to the lowest polymorph listed for this composition: 0.469 eV/atom
Total magnetic moment: 4.59 μB per formula unit

First-principles (PBE) data for a geometry-optimized DyBi2Pd structure, as listed in Alexandria.

Lattice parameters (Å, degrees): 4.8765 4.8765 4.1879 90.00 90.00 90.00
Closest atoms and distances in Å follow each position.
Space group P4/mmm (No. 123)
Asymmetric unit:
Dy 0.0000 0.0000 0.0000 x1  8 Bi 3.21, 4 Pd 3.45
Bi 0.0000 0.5000 0.5000 x2  4 Dy 3.21, 4 Pd 3.21, 4 Bi 3.45
Pd 0.5000 0.5000 0.0000 x1  8 Bi 3.21, 4 Dy 3.45

Summary:
Formation energy from the elements: -1.953 eV/f.u.
Energy: -0.35849 Ry/atom
Calculated volume: 99.6 Å³/cell
Total magnetic moment: 0.00 μB per formula unit

First-principles (PBE) data for a geometry-optimized CaNd3Ir structure, as listed in Alexandria.

Lattice parameters (Å, degrees): 8.1625 7.6506 10.5381 90.00 105.91 90.00
Closest atoms and distances in Å follow each position.
Space group P2_1/c (No. 14)
Asymmetric unit:
Ca 0.1999 0.0452 0.2512 x4  2 Ir 3.35-3.55, 5 Nd 3.39-3.72
Nd 0.0794 0.7038 0.0275 x4  1 Ir 2.87
Nd 0.2908 0.5059 0.3775 x4  2 Ir 2.85-2.97
Nd 0.4108 0.1271 0.6051 x4  3 Ir 2.98-3.08
Ir 0.4405 0.7390 0.6054 x4  6 Nd 2.85-3.08

Summary:
Formation energy from the elements: -1.226 eV/f.u.
Energy: -0.38796 Ry/atom
Calculated volume: 632.9 Å³/cell
Energy relative to the lowest polymorph listed for this composition: 0.000 eV/atom
Total magnetic moment: 0.00 μB per formula unit

First-principles (PBE) data for a geometry-optimized Ag2Sn2Sb structure, as listed in Alexandria.

Lattice parameters (Å, degrees): 3.9502 3.9502 15.9079 90.00 90.00 90.00
Closest atoms and distances in Å follow each position.
Space group I4/mmm (No. 139)
Asymmetric unit:
Ag 0.0000 0.5000 0.2500 x4  4 Ag 2.79, 4 Sn 3.04
Sn 0.0000 0.0000 0.1045 x4  4 Ag 3.04, 4 Sb 3.25, 1 Sn 3.33
Sb 0.0000 0.0000 0.5000 x2  8 Sn 3.25

Summary:
Raw formation energy: 0.144 eV per atom
Energy: -0.25153 Ry/atom
Calculated volume: 248.2 Å³/cell
Energy relative to the lowest polymorph listed for this composition: 0.045 eV/atom
Total magnetic moment: 0.00 μB per formula unit

First-principles (PBE) data for a geometry-optimized Tb3MnTe6 structure, as listed in Alexandria.

Lattice parameters (Å, degrees): 12.1326 14.6205 7.3307 90.00 90.00 90.00
Closest atoms and distances in Å follow each position.
Space group Cmc2_1 (No. 36)
Asymmetric unit:
Tb 0.0000 0.0989 0.0000 x4  7 Te 3.11-3.29
Tb 0.1771 0.4026 0.8962 x8  7 Te 3.07-3.26
Mn 0.0000 0.2911 0.3539 x4  4 Te 2.63-2.69
Te 0.0000 0.2742 0.7180 x4  1 Mn 2.68
Te 0.0000 0.4597 0.2052 x4  1 Mn 2.69
Te 0.1637 0.0368 0.6989 x8  4 Tb 3.07-3.16
Te 0.1743 0.2322 0.1748 x8  1 Mn 2.63

Summary:
Raw formation energy: -1.024 eV per atom
Energy: -0.38333 Ry/atom
Calculated volume: 1300.4 Å³/cell
Total magnetic moment: 3.95 μB per formula unit

First-principles (PBE) data for a geometry-optimized AlMoAs2 structure, as listed in Alexandria.

Lattice parameters (Å, degrees): 3.2793 3.2912 6.1862 90.00 98.43 90.00
Closest atoms and distances in Å follow each position.
Space group P2/m (No. 10)
Asymmetric unit:
Al 0.0000 0.0000 0.0000 x1  4 As 2.62
Mo 0.0000 0.0000 0.5000 x1  8 As 2.71-2.73
As 0.4426 0.5000 0.2686 x2  2 Al 2.62, 4 Mo 2.71-2.73, 1 As 2.83

Summary:
Formation energy from the elements: -0.153 eV/f.u.
Energy: -0.44146 Ry/atom
Calculated volume: 66.0 Å³/cell
Total magnetic moment: 0.00 μB per formula unit

First-principles (PBE) data for a geometry-optimized KRe2Ru structure, as listed in Alexandria.

Lattice parameters (Å, degrees): 7.6362 7.6362 5.4842 90.00 90.00 90.00
Closest atoms and distances in Å follow each position.
Space group I-42d (No. 122)
Asymmetric unit:
K 0.0000 0.0000 0.0000 x4  2 Ru 2.74
Re 0.1844 0.2500 0.6250 x8  2 Ru 2.47
Ru 0.0000 0.0000 0.5000 x4  4 Re 2.47, 2 K 2.74

Summary:
Formation energy from the elements: 6.920 eV/f.u.
Energy: -0.52091 Ry/atom
Calculated volume: 319.8 Å³/cell
Energy relative to the lowest polymorph listed for this composition: 1.025 eV/atom
Total magnetic moment: 0.00 μB per formula unit

First-principles (PBE) data for a geometry-optimized Cs2NaTlF4 structure, as listed in Alexandria.

Lattice parameters (Å, degrees): 11.4313 11.2745 8.0744 90.00 134.85 90.00
Closest atoms and distances in Å follow each position.
Space group C2/c (No. 15)
Asymmetric unit:
Cs 0.0000 0.0000 0.0000 x4  6 F 2.89-2.94
Cs 0.2500 0.2500 0.0000 x4  6 F 3.01-3.18
Na 0.2500 0.2500 0.5000 x4  6 F 2.46-2.72
Tl 0.0000 0.5000 0.0000 x4  6 F 2.76-2.83
F 0.0011 0.2559 0.4743 x8  2 Na 2.70-2.72, 1 Tl 2.76, 3 Cs 2.89-3.02
F 0.2398 0.4683 0.4899 x8  1 Na 2.46

Summary:
Raw formation energy: -2.362 eV per atom
Energy: -0.29190 Ry/atom
Calculated volume: 737.8 Å³/cell
Total magnetic moment: 0.00 μB per formula unit

First-principles (PBE) data for a geometry-optimized SrHoGa2 structure, as listed in Alexandria.

Lattice parameters (Å, degrees): 3.7849 3.7849 27.3728 90.00 90.00 120.00
Closest atoms and distances in Å follow each position.
Space group R-3m (No. 166, hexagonal axes)
Asymmetric unit:
Sr 0.0000 0.0000 0.0000 x3  6 Ga 3.27
Ho 0.0000 0.0000 0.5000 x3  6 Ga 3.05
Ga 0.0000 0.0000 0.2442 x6  3 Ho 3.05, 3 Sr 3.27

Summary:
Formation energy from the elements: -0.965 eV/f.u.
Energy: -0.24398 Ry/atom
Calculated volume: 339.6 Å³/cell
Total magnetic moment: 0.00 μB per formula unit

First-principles (PBE) data for a geometry-optimized BeTl2Pd structure, as listed in Alexandria.

Lattice parameters (Å, degrees): 4.3338 4.3338 18.3668 90.00 90.00 90.00
Closest atoms and distances in Å follow each position.
Space group I-42d (No. 122)
Asymmetric unit:
Be 0.0000 0.0000 0.0000 x4  4 Tl 2.75, 4 Pd 3.06
Tl 0.2421 0.2500 0.1250 x8  2 Be 2.75, 2 Pd 2.77, 2 Tl 3.02
Pd 0.0000 0.0000 0.5000 x4  4 Tl 2.77, 4 Be 3.06

Summary:
Formation energy from the elements: 1.830 eV/f.u.
Energy: -0.21722 Ry/atom
Calculated volume: 345.0 Å³/cell
Energy relative to the lowest polymorph listed for this composition: 0.060 eV/atom
Total magnetic moment: 0.00 μB per formula unit

First-principles (PBE) data for a geometry-optimized ZrTi2ZnO structure, as listed in Alexandria.

Lattice parameters (Å, degrees): 4.0880 4.0880 4.5234 90.00 90.00 90.00
Closest atoms and distances in Å follow each position.
Space group P4/mmm (No. 123)
Asymmetric unit:
Zr 0.0000 0.0000 0.0000 x1  2 O 2.26
Ti 0.0000 0.5000 0.5000 x2  2 O 2.04
Zn 0.5000 0.5000 0.0000 x1  4 Zr 2.89, 8 Ti 3.05
O 0.0000 0.0000 0.5000 x1  4 Ti 2.04, 2 Zr 2.26

Summary:
Raw formation energy: -1.130 eV per atom
Energy: -0.53243 Ry/atom
Calculated volume: 75.6 Å³/cell
Total magnetic moment: 0.00 μB per formula unit

First-principles (PBE) data for a geometry-optimized Pm2ThPb9 structure, as listed in Alexandria.

Lattice parameters (Å, degrees): 4.9096 4.9096 14.7778 90.00 90.00 90.00
Closest atoms and distances in Å follow each position.
Space group P4/mmm (No. 123)
Asymmetric unit:
Pm 0.0000 0.0000 0.1708 x2  12 Pb 3.44-3.52
Th 0.0000 0.0000 0.5000 x1  12 Pb 3.47
Pb 0.0000 0.5000 0.0000 x2  8 Pb 3.47, 4 Pm 3.52
Pb 0.0000 0.5000 0.3338 x4  2 Pm 3.44, 8 Pb 3.47-3.49, 2 Th 3.47
Pb 0.5000 0.5000 0.1662 x2  4 Pm 3.47, 8 Pb 3.47-3.49
Pb 0.5000 0.5000 0.5000 x1  4 Th 3.47, 8 Pb 3.47

Summary:
Formation energy from the elements: -3.755 eV/f.u.
Energy: -0.33106 Ry/atom
Calculated volume: 356.2 Å³/cell
Total magnetic moment: 0.00 μB per formula unit